A plane-wave DFT calculation with GGA+U was carried out for an optimized crystal structure of VCr2Ni3P6O24.

Summary:
- SG: R3, No. 146
- Crystal system: trigonal
- Electronic total energy: -6.902 eV per atom

```
VCr2Ni3P6O24
1.0
4.3059 2.4860 6.7387
-4.3059 2.4860 6.7387
0.0000 -4.9720 6.7387
V Cr Ni P O
1 2 3 6 24
direct
0.0000 0.0000 0.0000
0.1466 0.1466 0.1466
0.6500 0.6500 0.6500
0.2902 0.2902 0.2902
0.5049 0.5049 0.5049
0.7901 0.7901 0.7901
0.0989 0.6946 0.3954
0.1957 0.5972 0.8923
0.3954 0.0989 0.6946
0.5972 0.8923 0.1957
0.6946 0.3954 0.0989
0.8923 0.1957 0.5972
0.0516 0.2000 0.4007
0.0517 0.6533 0.8022
0.0767 0.9037 0.2336
0.1307 0.7657 0.9736
0.1408 0.5459 0.3161
0.2000 0.4007 0.0516
0.2336 0.0767 0.9037
0.2547 0.6667 0.4581
0.3161 0.1408 0.5459
0.4003 0.5917 0.7527
0.4007 0.0516 0.2000
0.4581 0.2547 0.6667
0.5459 0.3161 0.1408
0.5456 0.8940 0.7164
0.5917 0.7527 0.4003
0.6533 0.8022 0.0517
0.6667 0.4581 0.2547
0.7164 0.5456 0.8940
0.7527 0.4003 0.5917
0.7657 0.9736 0.1307
0.8022 0.0517 0.6533
0.8940 0.7164 0.5456
0.9037 0.2336 0.0767
0.9736 0.1307 0.7657
```